# BaLiRe2, optimized geometry, DFT PBE-GGA
# Energy of formation, eV/f.u.: 4.41
# Crystal system: tetragonal
# Distance to the lowest polymorph of the same formula, meV/atom: 591
# ρ, Mg/m³: 9.9
# Total energy, Ry per atom: -0.447
# Total magnetic moment, μB/f.u.: 0.0
data_BaLiRe2
_chemical_formula_sum 'Ba4 Li4 Re8'
_cell_length_a 4.1084
_cell_length_b 4.1084
_cell_length_c 20.6414
_cell_angle_alpha 90.00
_cell_angle_beta 90.00
_cell_angle_gamma 90.00
_symmetry_space_group_name_H-M 'I -4 2 d'
_symmetry_Int_Tables_number 122
_symmetry_space_group_name_Hall 'I -4 2bw'
loop_
_atom_site_label
_atom_site_type_symbol
_atom_site_fract_x
_atom_site_fract_y
_atom_site_fract_z
Ba1 Ba 0.0000 0.0000 0.0000
Li1 Li 0.0000 0.0000 0.5000
Re1 Re 0.1621 0.7500 0.6250

# AcHo6Er, optimized geometry, DFT PBE-GGA
# Energy of formation, eV/f.u.: 0.38
# Crystal system: tetragonal
# Distance to the lowest polymorph of the same formula, meV/atom: 0
# ρ, Mg/m³: 8.9
# Total energy, Ry per atom: -0.328
# Total magnetic moment, μB/f.u.: 0.0
data_AcHo6Er
_chemical_formula_sum 'Ac1 Ho6 Er1'
_cell_length_a 5.0634
_cell_length_b 5.0634
_cell_length_c 10.1208
_cell_angle_alpha 90.00
_cell_angle_beta 90.00
_cell_angle_gamma 90.00
_symmetry_space_group_name_H-M 'P 4/m m m'
_symmetry_Int_Tables_number 123
_symmetry_space_group_name_Hall '-P 4 2'
loop_
_atom_site_label
_atom_site_type_symbol
_atom_site_fract_x
_atom_site_fract_y
_atom_site_fract_z
Ac1 Ac 0.0000 0.0000 0.0000
Ho1 Ho 0.0000 0.5000 0.2593
Ho2 Ho 0.5000 0.5000 0.0000
Ho3 Ho 0.5000 0.5000 0.5000
Er1 Er 0.0000 0.0000 0.5000

# CsYAuF2, optimized geometry, DFT PBE-GGA
# Uncorrected formation energy, eV/atom: -2.2325
# Crystal system: tetragonal
# ρ, Mg/m³: 5.9
# Total energy, Ry per atom: -0.375
# Total magnetic moment, μB/f.u.: 0.0
data_CsYAuF2
_chemical_formula_sum 'Cs1 Y1 Au1 F2'
_cell_length_a 4.6066
_cell_length_b 4.6066
_cell_length_c 6.0764
_cell_angle_alpha 90.00
_cell_angle_beta 90.00
_cell_angle_gamma 90.00
_symmetry_space_group_name_H-M 'P 4/m m m'
_symmetry_Int_Tables_number 123
_symmetry_space_group_name_Hall '-P 4 2'
loop_
_atom_site_label
_atom_site_type_symbol
_atom_site_fract_x
_atom_site_fract_y
_atom_site_fract_z
Cs1 Cs 0.0000 0.0000 0.0000
Y1 Y 0.5000 0.5000 0.5000
Au1 Au 0.5000 0.5000 0.0000
F1 F 0.0000 0.5000 0.5000

# TaPRh2, optimized geometry, DFT PBE-GGA
# Energy of formation, eV/f.u.: -1.08
# Crystal system: orthorhombic
# ρ, Mg/m³: 11.7
# Total energy, Ry per atom: -0.607
# Total magnetic moment, μB/f.u.: 0.0
data_TaPRh2
_chemical_formula_sum 'Ta2 P2 Rh4'
_cell_length_a 5.3993
_cell_length_b 7.5523
_cell_length_c 2.9120
_cell_angle_alpha 90.00
_cell_angle_beta 90.00
_cell_angle_gamma 90.00
_symmetry_space_group_name_H-M 'C m m m'
_symmetry_Int_Tables_number 65
_symmetry_space_group_name_Hall '-C 2 2'
loop_
_atom_site_label
_atom_site_type_symbol
_atom_site_fract_x
_atom_site_fract_y
_atom_site_fract_z
Ta1 Ta 0.0000 0.0000 0.0000
P1 P 0.0000 0.5000 0.0000
Rh1 Rh 0.2500 0.2500 0.5000

# BaY2F8, optimized geometry, DFT PBE-GGA
# Uncorrected formation energy, eV/atom: -4.0048
# Crystal system: tetragonal
# Distance to the lowest polymorph of the same formula, meV/atom: 74
# ρ, Mg/m³: 4.1
# Total energy, Ry per atom: -0.494
# Total magnetic moment, μB/f.u.: 0.0
data_BaY2F8
_chemical_formula_sum 'Ba1 Y2 F8'
_cell_length_a 5.4600
_cell_length_b 5.4600
_cell_length_c 6.3640
_cell_angle_alpha 90.00
_cell_angle_beta 90.00
_cell_angle_gamma 90.00
_symmetry_space_group_name_H-M 'P 4/m m m'
_symmetry_Int_Tables_number 123
_symmetry_space_group_name_Hall '-P 4 2'
loop_
_atom_site_label
_atom_site_type_symbol
_atom_site_fract_x
_atom_site_fract_y
_atom_site_fract_z
Ba1 Ba 0.0000 0.0000 0.0000
Y1 Y 0.0000 0.5000 0.5000
F1 F 0.2465 0.2465 0.2994

# SbCl, optimized geometry, DFT PBE-GGA
# Uncorrected formation energy, eV/atom: -0.0129
# Crystal system: tetragonal
# Distance to the lowest polymorph of the same formula, meV/atom: 462
# ρ, Mg/m³: 5.4
# Total energy, Ry per atom: -0.220
# Total magnetic moment, μB/f.u.: 0.0
data_SbCl
_chemical_formula_sum 'Sb1 Cl1'
_cell_length_a 3.1911
_cell_length_b 3.1911
_cell_length_c 4.7397
_cell_angle_alpha 90.00
_cell_angle_beta 90.00
_cell_angle_gamma 90.00
_symmetry_space_group_name_H-M 'P 4/m m m'
_symmetry_Int_Tables_number 123
_symmetry_space_group_name_Hall '-P 4 2'
loop_
_atom_site_label
_atom_site_type_symbol
_atom_site_fract_x
_atom_site_fract_y
_atom_site_fract_z
Sb1 Sb 0.0000 0.0000 0.0000
Cl1 Cl 0.5000 0.5000 0.5000

Q: Which of these has the highest ρ?
A: TaPRh2

Q: ρ of number 1 (BaLiRe2)?
A: 9.9 Mg/m³

What did the second record say?
# AcHo6Er, optimized geometry, DFT PBE-GGA
# Energy of formation, eV/f.u.: 0.38
# Crystal system: tetragonal
# Distance to the lowest polymorph of the same formula, meV/atom: 0
# ρ, Mg/m³: 8.9
# Total energy, Ry per atom: -0.328
# Total magnetic moment, μB/f.u.: 0.0
data_AcHo6Er
_chemical_formula_sum 'Ac1 Ho6 Er1'
_cell_length_a 5.0634
_cell_length_b 5.0634
_cell_length_c 10.1208
_cell_angle_alpha 90.00
_cell_angle_beta 90.00
_cell_angle_gamma 90.00
_symmetry_space_group_name_H-M 'P 4/m m m'
_symmetry_Int_Tables_number 123
_symmetry_space_group_name_Hall '-P 4 2'
loop_
_atom_site_label
_atom_site_type_symbol
_atom_site_fract_x
_atom_site_fract_y
_atom_site_fract_z
Ac1 Ac 0.0000 0.0000 0.0000
Ho1 Ho 0.0000 0.5000 0.2593
Ho2 Ho 0.5000 0.5000 0.0000
Ho3 Ho 0.5000 0.5000 0.5000
Er1 Er 0.0000 0.0000 0.5000